No. 1
# Cr2SiMo | Alexandria via LeMat-Bulk | GGA-PBE | optimized geometry
data_Cr2SiMo
_symmetry_space_group_name_H-M 'C m m m'
_symmetry_Int_Tables_number 65
_symmetry_space_group_name_Hall '-C 2 2'
_cell_length_a 3.108
_cell_length_b 4.229
_cell_length_c 7.907
_cell_angle_alpha 90.00
_cell_angle_beta 90.00
_cell_angle_gamma 90.00
loop_
_atom_site_label
_atom_site_fract_x
_atom_site_fract_y
_atom_site_fract_z
Cr1 0.000 0.000 0.234
Si1 0.000 0.500 0.000
Mo1 0.000 0.500 0.500
# formation energy (no corrections)	0.016	eV/atom
# total moment	0.0	Bohr magnetons per cell
# total DFT energy (no corrections)	-8.8592	eV per atom

***

No. 2
# Fe2CuPd | Alexandria via LeMat-Bulk | GGA-PBE | optimized geometry
data_Fe2CuPd
_symmetry_space_group_name_H-M 'F m -3 m'
_symmetry_Int_Tables_number 225
_symmetry_space_group_name_Hall '-F 4 2 3'
_cell_length_a 5.812
_cell_length_b 5.812
_cell_length_c 5.812
_cell_angle_alpha 90.00
_cell_angle_beta 90.00
_cell_angle_gamma 90.00
loop_
_atom_site_label
_atom_site_fract_x
_atom_site_fract_y
_atom_site_fract_z
Fe1 0.250 0.250 0.250
Cu1 0.000 0.000 0.000
Pd1 0.000 0.000 0.500
# total moment	0.0	Bohr magnetons per cell
# total DFT energy (no corrections)	-5.9835	eV per atom
# calculated formation energy	0.57	eV per atom
# energy relative to the lowest polymorph listed for this composition	497.8	meV per atom

***

No. 3
# Sr2TlHPd6 | Alexandria via LeMat-Bulk | GGA-PBE | optimized geometry
data_Sr2TlHPd6
_symmetry_space_group_name_H-M 'C 1 2/m 1'
_symmetry_Int_Tables_number 12
_symmetry_space_group_name_Hall '-C 2y'
_cell_length_a 10.217
_cell_length_b 5.900
_cell_length_c 7.296
_cell_angle_alpha 90.00
_cell_angle_beta 118.02
_cell_angle_gamma 90.00
loop_
_atom_site_label
_atom_site_fract_x
_atom_site_fract_y
_atom_site_fract_z
Sr1 0.228 0.000 0.185
Tl1 0.000 0.500 0.000
H1 0.000 0.000 0.500
Pd1 0.027 0.251 0.331
Pd2 0.224 0.000 0.668
# total moment	0.0	Bohr magnetons per cell
# total DFT energy (no corrections)	-4.4677	eV per atom

***

No. 4
# Nd5Tl2HgRh2 | Alexandria via LeMat-Bulk | GGA-PBE | optimized geometry
data_Nd5Tl2HgRh2
_symmetry_space_group_name_H-M 'P 4/m b m'
_symmetry_Int_Tables_number 127
_symmetry_space_group_name_Hall '-P 4 2ab'
_cell_length_a 12.086
_cell_length_b 12.086
_cell_length_c 3.828
_cell_angle_alpha 90.00
_cell_angle_beta 90.00
_cell_angle_gamma 90.00
loop_
_atom_site_label
_atom_site_fract_x
_atom_site_fract_y
_atom_site_fract_z
Nd1 0.000 0.500 0.000
Nd2 0.078 0.204 0.000
Tl1 0.173 0.673 0.500
Hg1 0.000 0.000 0.500
Rh1 0.131 0.369 0.500
# total moment	0.0	Bohr magnetons per cell
# total DFT energy (no corrections)	-4.8458	eV per atom
# calculated formation energy	-0.49	eV per atom